# 1
# TaTcNiH2 (GGA-PBE, optimized geometry)
# Spin magnetization   1.8 Bohr magnetons per cell
# E   -31.16 eV for the cell shown
data_TaTcNiH2
_chemical_formula_sum 'Ta1 Tc1 Ni1 H2'
_cell_length_a 3.5223
_cell_length_b 3.5223
_cell_length_c 4.8205
_cell_angle_alpha 90.00
_cell_angle_beta 90.00
_cell_angle_gamma 90.00
_symmetry_space_group_name_H-M 'P 4/m m m'
_symmetry_Int_Tables_number 123
_symmetry_space_group_name_Hall '-P 4 2'
loop_
_atom_site_label
_atom_site_type_symbol
_atom_site_fract_x
_atom_site_fract_y
_atom_site_fract_z
Ta1 Ta 0.0000 0.0000 0.0000
Tc1 Tc 0.5000 0.5000 0.5000
Ni1 Ni 0.0000 0.0000 0.5000
H1 H 0.0000 0.5000 0.0000

=====

# 2
# PmYRuPt (GGA-PBE, optimized geometry)
# DFT formation energy   -0.72 eV/atom
# Spin magnetization   0.0 Bohr magnetons per cell
# Relative energy among the computed polymorphs   0 meV per atom
data_PmYRuPt
_chemical_formula_sum 'Pm1 Y1 Ru1 Pt1'
_cell_length_a 3.5000
_cell_length_b 3.5000
_cell_length_c 6.9784
_cell_angle_alpha 90.00
_cell_angle_beta 90.00
_cell_angle_gamma 90.00
_symmetry_space_group_name_H-M 'P 4 m m'
_symmetry_Int_Tables_number 99
_symmetry_space_group_name_Hall 'P 4 -2'
loop_
_atom_site_label
_atom_site_type_symbol
_atom_site_fract_x
_atom_site_fract_y
_atom_site_fract_z
Pm1 Pm 0.0000 0.0000 0.0000
Y1 Y 0.0000 0.0000 0.4895
Ru1 Ru 0.5000 0.5000 0.2494
Pt1 Pt 0.5000 0.5000 0.7346